1.
! YPdIO2 | the Alexandria database | PBE | optimized geometry; values from VASP
&SYSTEM
  ibrav = 0, nat = 5, ntyp = 4
/
ATOMIC_SPECIES
Y 88.91 Y.upf
Pd 106.42 Pd.upf
I 126.90 I.upf
O 16.00 O.upf
CELL_PARAMETERS angstrom
4.3053 0.0000 0.0000
0.0000 4.3053 0.0000
0.0000 0.0000 5.0013
ATOMIC_POSITIONS angstrom
Y 0.0000 0.0000 0.0000
Pd 2.1527 2.1527 2.5006
I 2.1527 2.1527 0.0000
O 0.0000 2.1527 2.5006
O 2.1527 0.0000 2.5006
! Relative energy among the computed polymorphs: 0.547 eV per atom
! Size of the total moment: 0.0 μB/f.u.
! Space-group type: P4/mmm
! Raw formation energy: -0.4644 eV/atom
! VASP energy: -5.09 eV/atom

---

2.
! YPd2IO | the Alexandria database | PBE | optimized geometry; values from VASP
&SYSTEM
  ibrav = 0, nat = 5, ntyp = 4
/
ATOMIC_SPECIES
Y 88.91 Y.upf
Pd 106.42 Pd.upf
I 126.90 I.upf
O 16.00 O.upf
CELL_PARAMETERS angstrom
4.2088 0.0000 0.0000
0.0000 4.2088 0.0000
0.0000 0.0000 5.6033
ATOMIC_POSITIONS angstrom
Y 0.0000 0.0000 0.0000
Pd 0.0000 2.1044 2.8016
Pd 2.1044 0.0000 2.8016
I 2.1044 2.1044 0.0000
O 2.1044 2.1044 2.8016
! Size of the total moment: 0.0 μB/f.u.
! Space-group type: P4/mmm
! Raw formation energy: -0.3831 eV/atom
! VASP energy: -5.05 eV/atom

---

3.
! YPdIO2 | the Alexandria database | PBE | optimized geometry; values from VASP
&SYSTEM
  ibrav = 0, nat = 5, ntyp = 4
/
ATOMIC_SPECIES
Y 88.91 Y.upf
Pd 106.42 Pd.upf
I 126.90 I.upf
O 16.00 O.upf
CELL_PARAMETERS angstrom
4.2051 0.0000 0.0000
0.0000 4.2051 0.0000
0.0000 0.0000 6.8135
ATOMIC_POSITIONS angstrom
Y 0.0000 0.0000 0.0000
Pd 2.1025 2.1025 3.4068
I 0.0000 0.0000 3.4068
O 0.0000 2.1025 0.0000
O 2.1025 0.0000 0.0000
! Relative energy among the computed polymorphs: 0.000 eV per atom
! Size of the total moment: 0.1 μB/f.u.
! Space-group type: P4/mmm
! Raw formation energy: -1.0110 eV/atom
! VASP energy: -5.64 eV/atom

---

4.
! ZnPdIO2 | the Alexandria database | PBE | optimized geometry; values from VASP
&SYSTEM
  ibrav = 0, nat = 5, ntyp = 4
/
ATOMIC_SPECIES
Zn 65.41 Zn.upf
Pd 106.42 Pd.upf
I 126.90 I.upf
O 16.00 O.upf
CELL_PARAMETERS angstrom
3.9185 0.0000 0.0000
0.0000 3.9185 0.0000
0.0000 0.0000 7.2365
ATOMIC_POSITIONS angstrom
Zn 0.0000 0.0000 0.0000
Pd 1.9593 1.9593 3.6182
I 1.9593 1.9593 0.0000
O 0.0000 1.9593 3.6182
O 1.9593 0.0000 3.6182
! Relative energy among the computed polymorphs: 0.048 eV per atom
! Size of the total moment: 1.9 μB/f.u.
! Space-group type: P4/mmm
! Raw formation energy: 0.0965 eV/atom
! VASP energy: -3.49 eV/atom

---

5.
! ZnPdI2O | the Alexandria database | PBE | optimized geometry; values from VASP
&SYSTEM
  ibrav = 0, nat = 5, ntyp = 4
/
ATOMIC_SPECIES
Zn 65.41 Zn.upf
Pd 106.42 Pd.upf
I 126.90 I.upf
O 16.00 O.upf
CELL_PARAMETERS angstrom
5.7944 0.0000 0.0000
0.0000 5.7944 0.0000
0.0000 0.0000 3.5482
ATOMIC_POSITIONS angstrom
Zn 0.0000 0.0000 0.0000
Pd 2.8972 2.8972 1.7741
I 0.0000 2.8972 0.0000
I 2.8972 0.0000 0.0000
O 0.0000 0.0000 1.7741
! Relative energy among the computed polymorphs: 0.016 eV per atom
! Size of the total moment: 0.0 μB/f.u.
! Space-group type: P4/mmm
! Raw formation energy: 0.1022 eV/atom
! VASP energy: -2.80 eV/atom

---

6.
! ZnPdIO2 | the Alexandria database | PBE | optimized geometry; values from VASP
&SYSTEM
  ibrav = 0, nat = 5, ntyp = 4
/
ATOMIC_SPECIES
Zn 65.41 Zn.upf
Pd 106.42 Pd.upf
I 126.90 I.upf
O 16.00 O.upf
CELL_PARAMETERS angstrom
3.8226 0.0000 0.0000
0.0000 3.8226 0.0000
0.0000 0.0000 6.9734
ATOMIC_POSITIONS angstrom
Zn 0.0000 0.0000 0.0000
Pd 1.9113 1.9113 3.4867
I 0.0000 0.0000 3.4867
O 0.0000 1.9113 0.0000
O 1.9113 0.0000 0.0000
! Relative energy among the computed polymorphs: 0.000 eV per atom
! Size of the total moment: 1.5 μB/f.u.
! Space-group type: P4/mmm
! Raw formation energy: 0.0483 eV/atom
! VASP energy: -3.54 eV/atom

---

7.
! ZnPdI2O | the Alexandria database | PBE | optimized geometry; values from VASP
&SYSTEM
  ibrav = 0, nat = 5, ntyp = 4
/
ATOMIC_SPECIES
Zn 65.41 Zn.upf
Pd 106.42 Pd.upf
I 126.90 I.upf
O 16.00 O.upf
CELL_PARAMETERS angstrom
5.6404 0.0000 0.0000
0.0000 5.6404 0.0000
0.0000 0.0000 3.8950
ATOMIC_POSITIONS angstrom
Zn 0.0000 0.0000 0.0000
Pd 2.8202 2.8202 1.9475
I 0.0000 2.8202 1.9475
I 2.8202 0.0000 1.9475
O 2.8202 2.8202 0.0000
! Relative energy among the computed polymorphs: 0.000 eV per atom
! Size of the total moment: 1.0 μB/f.u.
! Space-group type: P4/mmm
! Raw formation energy: 0.0858 eV/atom
! VASP energy: -2.82 eV/atom

---

8.
! Pm6IO12 | the Alexandria database | PBE | optimized geometry; values from VASP
&SYSTEM
  ibrav = 0, nat = 19, ntyp = 3
/
ATOMIC_SPECIES
Pm 145.00 Pm.upf
I 126.90 I.upf
O 16.00 O.upf
CELL_PARAMETERS angstrom
5.0926 2.9402 3.2543
-5.0926 2.9402 3.2543
0.0000 -5.8804 3.2543
ATOMIC_POSITIONS angstrom
Pm -3.5791 -1.0745 5.1107
Pm -0.8590 -3.6368 4.6523
Pm -2.7201 2.5623 4.6523
Pm 2.7201 -2.5623 5.1107
Pm 0.8590 3.6368 5.1107
Pm 3.5791 1.0745 4.6523
I 0.0000 0.0000 4.8815
O -4.2993 0.9555 4.2052
O -2.9771 -3.2455 5.5578
O -1.1879 -1.2746 3.8073
O 1.3221 -4.2010 4.2052
O -0.5099 1.6660 3.8073
O -1.6978 0.3914 5.9556
O 1.6978 -0.3914 3.8073
O 0.5099 -1.6660 5.9556
O -1.3222 4.2010 5.5578
O 1.1879 1.2746 5.9556
O 2.9771 3.2455 4.2052
O 4.2993 -0.9555 5.5578
! Size of the total moment: 0.0 μB/f.u.
! Space-group type: R-3
! Raw formation energy: -2.8199 eV/atom
! VASP energy: -7.53 eV/atom

---

- Look up the VASP energy of the eighth one.
  -7.53 eV/atom

---

- Which value of VASP energy does entry 2 give?
  -5.05 eV/atom

---

- raw formation energy of number 1 (YPdIO2)?
  -0.4644 eV/atom

---

- Which value of VASP energy does entry 7 give?
  -2.82 eV/atom